# LiSm5Te6

A geometry-optimized LiSm5Te6 structure (PBE, OQMD).

Magnetic moment ... 0.01 Bohr magnetons per cell
Energy ... -60.9 eV/f.u.

Unit cell a=7.6353 b=7.6353 c=7.6539 alpha=99.63 beta=99.63 gamma=120.04
Last column: nearest neighbours and their distance in Å.
Positions (direct):
Li 0.0000 0.0000 0.0000  6 Te 3.00-3.01
Sm 0.1709 0.8291 0.5000  6 Te 3.12-3.20
Sm 0.3356 0.6644 0.0000  6 Te 3.12-3.14
Sm 0.5000 0.5000 0.5000  6 Te 3.12-3.23
Sm 0.6644 0.3356 0.0000  6 Te 3.12-3.14
Sm 0.8291 0.1709 0.5000  6 Te 3.12-3.20
Te 0.0795 0.4001 0.2414  1 Li 3.00, 5 Sm 3.12-3.20
Te 0.2379 0.2379 0.7556  1 Li 3.01, 5 Sm 3.12-3.23
Te 0.4001 0.0795 0.2414  1 Li 3.00, 5 Sm 3.12-3.20
Te 0.5999 0.9205 0.7586  1 Li 3.00, 5 Sm 3.12-3.20
Te 0.7621 0.7621 0.2444  1 Li 3.01, 5 Sm 3.12-3.23
Te 0.9205 0.5999 0.7586  1 Li 3.00, 5 Sm 3.12-3.20